1.
# La4PPtSe2

A geometry-optimized La4PPtSe2 structure (PBE, Alexandria via LeMat-Bulk).

Cell lengths 4.247, 7.520, 7.490 Å; angles 71.02, 90.00, 90.00 degrees
Fractional positions:
1 Se 0.500 0.000 0.500
2 La 0.000 0.265 0.246
3 La 0.000 0.735 0.754
4 La 0.500 0.262 0.741
5 La 0.500 0.738 0.259
6 P 0.000 0.500 0.500
7 Se 0.000 0.000 0.000
8 Pt 0.500 0.500 0.000

The calculation puts the size of the total moment at 0.00 μB/f.u. The calculated volume is 28.274 A^3/atom. The value obtained for the raw formation energy is -1673 meV/atom. As for the space group: P2/m. For the density of states at the Fermi level, the calculation gives 6.5 states/eV/cell.

=====

2.
# K5Na2Cd4

A geometry-optimized K5Na2Cd4 structure (PBE, Alexandria via LeMat-Bulk).

Cell lengths 7.678, 8.530, 9.363 Å; angles 89.16, 65.79, 63.25 degrees
Fractional positions:
1 Cd 0.246 0.034 0.473
2 K 0.708 0.254 0.836
3 Na 0.291 0.733 0.685
4 K 0.798 0.746 0.164
5 Cd 0.348 0.148 0.156
6 K 0.000 0.500 0.500
7 Na 0.709 0.267 0.315
8 K 0.292 0.746 0.164
9 Cd 0.754 0.966 0.527
10 K 0.202 0.254 0.836
11 Cd 0.652 0.852 0.844

The calculation puts the size of the total moment at 0.00 μB/f.u. The calculated volume is 44.411 A^3/atom. Its formation energy is 0.025 eV/atom. As for the space group: C2/m. For the density of states at the Fermi level, the calculation gives 5.5 states/eV/cell.

=====

3.
# ErPdI2

A geometry-optimized ErPdI2 structure (PBE, Alexandria via LeMat-Bulk).

Cell lengths 3.943, 3.943, 9.576 Å; angles 78.12, 78.12, 60.00 degrees
Fractional positions:
1 Pd 0.000 0.000 0.000
2 I 0.093 0.093 0.720
3 I 0.907 0.907 0.280
4 Er 0.500 0.500 0.500

The calculation puts the size of the total moment at 0.00 μB/f.u. The calculated volume is 31.311 A^3/atom. The value obtained for the raw formation energy is -457 meV/atom. As for the space group: R-3m. For the density of states at the Fermi level, the calculation gives 2.6 states/eV/cell.

=====

4.
# Na3Mg2Hg7

A geometry-optimized Na3Mg2Hg7 structure (PBE, Alexandria via LeMat-Bulk).

Cell lengths 4.562, 4.558, 15.804 Å; angles 98.75, 90.00, 90.00 degrees
Fractional positions:
1 Mg 0.500 0.366 0.734
2 Na 0.500 0.500 0.000
3 Hg 0.000 0.000 0.000
4 Hg 0.000 0.582 0.155
5 Hg 0.500 0.283 0.559
6 Hg 0.000 0.418 0.845
7 Na 0.000 0.811 0.620
8 Hg 0.500 0.923 0.849
9 Hg 0.500 0.717 0.441
10 Na 0.000 0.189 0.380
11 Hg 0.500 0.077 0.151
12 Mg 0.500 0.634 0.266

The calculation puts the size of the total moment at 0.00 μB/f.u. The calculated volume is 27.069 A^3/atom. Its formation energy is -0.136 eV/atom. As for the space group: P2/m. For the density of states at the Fermi level, the calculation gives 4.8 states/eV/cell.

=====

5.
# Rb2Ag3F8

A geometry-optimized Rb2Ag3F8 structure (PBE, Alexandria via LeMat-Bulk).

Cell lengths 4.329, 4.329, 12.119 Å; angles 90.00, 90.00, 90.00 degrees
Fractional positions:
1 Ag 0.500 0.500 0.375
2 F 0.000 0.500 0.636
3 Rb 0.000 0.000 0.805
4 F 0.500 0.000 0.636
5 F 0.500 0.500 0.176
6 F 0.000 0.500 0.364
7 F 0.500 0.000 0.000
8 F 0.500 0.500 0.824
9 F 0.000 0.500 0.000
10 Rb 0.000 0.000 0.195
11 Ag 0.500 0.500 0.625
12 Ag 0.500 0.500 0.000
13 F 0.500 0.000 0.364

The calculation puts the size of the total moment at 0.01 μB/f.u. The calculated volume is 17.470 A^3/atom. The value obtained for the raw formation energy is -1686 meV/atom. The energy above the most stable polymorph in this dataset is 0 meV per atom. As for the space group: P4/mmm. For the density of states at the Fermi level, the calculation gives 4.9 states/eV/cell.

=====

6.
# Y2NiMoPd

A geometry-optimized Y2NiMoPd structure (PBE, Alexandria via LeMat-Bulk).

Cell lengths 5.331, 5.331, 4.662 Å; angles 90.00, 90.00, 90.00 degrees
Site moments in Bohr magnetons follow the coordinates.
Fractional positions:
1 Y 0.000 0.500 0.000  -0.01
2 Ni 0.500 0.500 0.500  0.51
3 Mo 0.000 0.000 0.000  0.06
4 Y 0.500 0.000 0.000  -0.01
5 Pd 0.000 0.000 0.500  0.03

The calculation puts the size of the total moment at 0.56 μB/f.u. The calculated volume is 26.497 A^3/atom. Its formation energy is 0.843 eV/atom. As for the space group: P4/mmm. For the density of states at the Fermi level, the calculation gives 6.1 states/eV/cell.